Material: CuSeBr
Method: DFT, PBE
State: optimized geometry

## Properties
space group: No. 216
spin magnetization: 0.00 μB/f.u.
E_form (uncorrected): 0.362 eV per atom

```
CuSeBr
1.0
0.000 3.185 3.185
3.185 0.000 3.185
3.185 3.185 0.000
Cu Se Br
1 1 1
Cartesian
0.000 0.000 0.000
1.593 1.593 1.593
4.778 4.778 4.778
```